1.
Computed, not measured: Ba3SrNb after structural relaxation at the PBE level of DFT.

Values from the calculation:
As for the energy above the most stable polymorph in this dataset: 1065 meV per atom. As for the crystal system: cubic. As for the formation enthalpy at 0 K: 8.514 eV per formula unit. The value obtained for the total energy is -1.80 eV/atom.

Unit cell a=6.3747 b=6.3747 c=6.3747 alpha=90.00 beta=90.00 gamma=90.00
Fractional coordinates of all 5 atoms:
Ba  0.5000  0.0000  0.0000
Ba  0.0000  0.0000  0.5000
Ba  0.0000  0.5000  0.0000
Nb  0.5000  0.5000  0.5000
Sr  0.0000  0.0000  0.0000

2.
Computed, not measured: Ba3SrNb after structural relaxation at the PBE level of DFT.

Values from the calculation:
As for the energy above the most stable polymorph in this dataset: 0 meV per atom. As for the crystal system: cubic. As for the formation enthalpy at 0 K: 3.188 eV per formula unit. The value obtained for the total energy is -2.87 eV/atom.

Unit cell a=6.3039 b=6.3039 c=6.3039 alpha=90.00 beta=90.00 gamma=90.00
Fractional coordinates of all 5 atoms:
Ba  0.0000  0.5000  0.0000
Ba  0.5000  0.0000  0.0000
Ba  0.0000  0.0000  0.5000
Sr  0.5000  0.5000  0.5000
Nb  0.0000  0.0000  0.0000

3.
Computed, not measured: Ba4SrNb2 after structural relaxation at the PBE level of DFT.

Values from the calculation:
As for the crystal system: tetragonal. As for the formation enthalpy at 0 K: 6.737 eV per formula unit. The value obtained for the total energy is -3.25 eV/atom.

Unit cell a=6.8855 b=6.8855 c=9.5427 alpha=68.85 beta=68.85 gamma=90.00
Fractional coordinates of all 7 atoms:
Ba  0.0000  0.5000  0.0000
Ba  0.5000  0.0000  0.0000
Ba  0.2284  0.2284  0.5432
Ba  0.7716  0.7716  0.4568
Sr  0.0000  0.0000  0.0000
Nb  0.4336  0.4336  0.1329
Nb  0.5664  0.5664  0.8671

4.
Computed, not measured: Ba2SrNb after structural relaxation at the PBE level of DFT.

Values from the calculation:
As for the energy above the most stable polymorph in this dataset: 0 meV per atom. As for the crystal system: cubic. As for the formation enthalpy at 0 K: 3.074 eV per formula unit. The value obtained for the total energy is -3.13 eV/atom.

Unit cell a=6.2209 b=6.2209 c=6.2209 alpha=60.00 beta=60.00 gamma=60.00
Each line ends with the local moment (μB).
Fractional coordinates of all 4 atoms:
Ba  0.2500  0.2500  0.2500  0.03
Ba  0.7500  0.7500  0.7500  0.03
Nb  0.5000  0.5000  0.5000  2.43
Sr  0.0000  0.0000  0.0000  -0.04